VASP calculation (GGA-PBE) on crystalline SrCoTc at its relaxed geometry.

Output
* formation enthalpy at 0 K: 0.98 eV/f.u.
* raw total energy: -72.703 eV per cell
* V: 25.3 Å³/atom
* E above lowest polymorph: 53 meV per atom

abc: 7.2614 4.1967 10.2551
angles: 90.00 103.44 90.00
Last column: nearest neighbours and their distance in Å.
Element x y z (fractional)
Sr  0.2338  0.0000  0.1975  3 Co 3.04, 1 Tc 3.17
Sr  0.2662  0.5000  0.8025  3 Co 3.04, 1 Tc 3.17
Sr  0.7338  0.5000  0.1975  3 Co 3.04, 1 Tc 3.17
Sr  0.7662  0.0000  0.8025  3 Co 3.04, 1 Tc 3.17
Co  0.0391  0.0000  0.6179  1 Co 2.35, 3 Tc 2.63
Co  0.4609  0.5000  0.3821  1 Co 2.35, 3 Tc 2.63
Co  0.5391  0.5000  0.6179  1 Co 2.35, 3 Tc 2.63
Co  0.9609  0.0000  0.3821  1 Co 2.35, 3 Tc 2.63
Tc  0.1612  0.5000  0.4849  3 Tc 2.43-2.44, 3 Co 2.63
Tc  0.3388  0.0000  0.5151  3 Tc 2.43-2.44, 3 Co 2.63
Tc  0.6612  0.0000  0.4849  3 Tc 2.43-2.44, 3 Co 2.63
Tc  0.8388  0.5000  0.5151  3 Tc 2.43-2.44, 3 Co 2.63